Er2UPaN4 | GGA-PBE | optimized geometry

Uncorrected energy (eV per atom): -9.499
Energy relative to the elements, uncorrected (meV/atom): -1597.4
Calculated volume (Å³/cell): 116
Spin magnetization (μB/atom): 0.15
SG: P2/m

Cell and atoms, written as POSCAR:
```
Er2UPaN4
1.0
5.948 0.000 0.000
0.000 3.431 0.000
-1.980 0.000 5.675
Er U Pa N
2 1 1 4
Direct
0.000 0.000 0.000
0.500 0.500 0.000
0.000 0.500 0.500
0.500 0.000 0.500
0.245 0.000 0.745
0.248 0.500 0.254
0.752 0.500 0.746
0.755 0.000 0.255
```

---

ErUPa2N4 | GGA-PBE | optimized geometry

Uncorrected energy (eV per atom): -10.088
Energy relative to the elements, uncorrected (meV/atom): -1570.3
Calculated volume (Å³/cell): 117
Spin magnetization (μB/atom): 0.12
SG: P2/m

Cell and atoms, written as POSCAR:
```
ErUPa2N4
1.0
5.986 0.000 0.000
0.000 3.459 0.000
-1.982 0.000 5.670
Er U Pa N
1 1 2 4
Direct
0.000 0.000 0.000
0.500 0.500 0.000
0.000 0.500 0.500
0.500 0.000 0.500
0.252 0.000 0.758
0.252 0.500 0.245
0.748 0.000 0.242
0.748 0.500 0.755
```

---

ErU2PaN4 | GGA-PBE | optimized geometry

Uncorrected energy (eV per atom): -10.227
Energy relative to the elements, uncorrected (meV/atom): -1485.3
Calculated volume (Å³/cell): 116
Spin magnetization (μB/atom): 0.31
SG: P2/m

Cell and atoms, written as POSCAR:
```
ErU2PaN4
1.0
5.975 0.000 0.000
0.000 3.440 0.000
-1.981 0.000 5.646
Er U Pa N
1 2 1 4
Direct
0.000 0.000 0.000
0.500 0.000 0.500
0.500 0.500 0.000
0.000 0.500 0.500
0.252 0.000 0.757
0.255 0.500 0.249
0.745 0.500 0.751
0.748 0.000 0.243
```

---

Y2ErPaN4 | GGA-PBE | optimized geometry

Uncorrected energy (eV per atom): -9.252
Energy relative to the elements, uncorrected (meV/atom): -1715.8
Calculated volume (Å³/cell): 118
Spin magnetization (μB/atom): 0.00
SG: P2/m

Cell and atoms, written as POSCAR:
```
Y2ErPaN4
1.0
5.989 0.000 0.000
0.000 3.487 0.000
-1.972 0.000 5.666
Y Er Pa N
2 1 1 4
Direct
0.000 0.000 0.000
0.500 0.500 0.000
0.000 0.500 0.500
0.500 0.000 0.500
0.256 0.000 0.737
0.257 0.500 0.261
0.743 0.500 0.739
0.744 0.000 0.263
```

---

What did the third record say?
ErU2PaN4 | GGA-PBE | optimized geometry

Uncorrected energy (eV per atom): -10.227
Energy relative to the elements, uncorrected (meV/atom): -1485.3
Calculated volume (Å³/cell): 116
Spin magnetization (μB/atom): 0.31
SG: P2/m

Cell and atoms, written as POSCAR:
```
ErU2PaN4
1.0
5.975 0.000 0.000
0.000 3.440 0.000
-1.981 0.000 5.646
Er U Pa N
1 2 1 4
Direct
0.000 0.000 0.000
0.500 0.000 0.500
0.500 0.500 0.000
0.000 0.500 0.500
0.252 0.000 0.757
0.255 0.500 0.249
0.745 0.500 0.751
0.748 0.000 0.243
```